[1]
NpInTcRh | PBE-GGA | optimized geometry

Total energy in eV/atom: -8.477
Space-group type: F-43m, No. 216
Calculated volume in Å³ per atom: 18.29
E_form in kJ/mol of formula units: -49
Crystal system: cubic

Unit cell a=4.694 b=4.694 c=4.694 alpha=60.00 beta=60.00 gamma=60.00
Site moments in Bohr magnetons follow the coordinates.
Element x y z (fractional)
Rh (0.000, 0.000, 0.000)  -0.20
In (0.750, 0.750, 0.750)  0.00
Np (0.250, 0.250, 0.250)  3.26
Tc (0.500, 0.500, 0.500)  -0.58

***

[2]
MgSc | PBE-GGA | optimized geometry

Total energy in eV/atom: -3.512
Space-group type: Fm-3m, No. 225
Calculated volume in Å³ per atom: 25.46
E_form in kJ/mol of formula units: 87
Crystal system: cubic

Unit cell a=4.161 b=4.161 c=4.161 alpha=60.00 beta=60.00 gamma=60.00
Element x y z (fractional)
Sc (0.500, 0.500, 0.500)
Mg (0.000, 0.000, 0.000)

***

[3]
Dy3Hf | PBE-GGA | optimized geometry

Excess energy over the best structure of this formula in the dataset in eV/f.u.: 0.09
Total energy in eV/atom: -5.801
Space-group type: I4/mmm, No. 139
Calculated volume in Å³ per atom: 28.38
E_form in kJ/mol of formula units: 54
Crystal system: tetragonal

Unit cell a=4.851 b=4.851 c=5.919 alpha=114.19 beta=114.19 gamma=90.00
Element x y z (fractional)
Hf (0.000, 0.000, 0.000)
Dy (0.250, 0.750, 0.500)
Dy (0.500, 0.500, 0.000)
Dy (0.750, 0.250, 0.500)